1.
Material: SrInSe
Method: DFT, meta-GGA SCAN
State: single point on PBEsol structure

Values from the calculation:
Energy relative to the lowest polymorph listed for this composition: 0 meV/atom
Raw formation energy: -0.884 eV/atom
Electronic total energy: -78.393 eV for the cell shown

a = 3.9726 Å, b = 4.9750 Å, c = 4.9750 Å
α = 120.00°, β = 90.00°, γ = 90.00°
Fractional coordinates of all 3 atoms:
In (0.8336, 0.0000, 0.0000)
Se (0.8329, 0.3333, 0.6667)
Sr (0.3335, 0.6667, 0.3333)

---

2.
Material: SrInSe3
Method: DFT, meta-GGA SCAN
State: single point on PBEsol structure

Values from the calculation:
Raw formation energy: -0.154 eV/atom
Electronic total energy: -116.669 eV for the cell shown

a = 5.7261 Å, b = 5.7261 Å, c = 5.7261 Å
α = 90.00°, β = 90.00°, γ = 90.00°
Last column: magnetic moment on the atom in μB.
Fractional coordinates of all 5 atoms:
Sr (0.0000, 0.0000, 0.0000)  -0.01
Se (0.0000, 0.5000, 0.0000)  0.62
Se (0.0000, 0.0000, 0.5000)  0.62
Se (0.5000, 0.0000, 0.0000)  0.62
In (0.5000, 0.5000, 0.5000)  0.00

---

3.
Material: TaInSe2
Method: DFT, meta-GGA SCAN
State: single point on PBEsol structure

Values from the calculation:
Raw formation energy: -0.407 eV/atom
Electronic total energy: -141.753 eV for the cell shown

a = 3.2945 Å, b = 4.8039 Å, c = 6.3836 Å
α = 111.45°, β = 90.00°, γ = 110.05°
Fractional coordinates of all 4 atoms:
In (0.8253, 0.6506, 0.2430)
Se (0.0171, 0.0341, 0.9878)
Se (0.1777, 0.3553, 0.6097)
Ta (0.4800, 0.9600, 0.6595)

---

4.
Material: TaIn2Se
Method: DFT, meta-GGA SCAN
State: single point on PBEsol structure

Values from the calculation:
Raw formation energy: 0.020 eV/atom
Electronic total energy: -153.356 eV for the cell shown

a = 3.0775 Å, b = 3.0775 Å, c = 10.0964 Å
α = 90.00°, β = 90.00°, γ = 111.75°
Fractional coordinates of all 4 atoms:
In (0.0000, 0.0000, 0.0293)
In (0.5000, 0.5000, 0.7618)
Se (0.0000, 0.0000, 0.4462)
Ta (0.5000, 0.5000, 0.2627)

---

5.
Material: Ta2InSe
Method: DFT, meta-GGA SCAN
State: single point on PBEsol structure

Values from the calculation:
Energy relative to the lowest polymorph listed for this composition: 545 meV/atom
Raw formation energy: 0.437 eV/atom
Electronic total energy: -184.883 eV for the cell shown

a = 4.0545 Å, b = 4.0545 Å, c = 5.2876 Å
α = 112.54°, β = 112.54°, γ = 90.00°
Fractional coordinates of all 4 atoms:
In (0.5000, 0.5000, 0.0000)
Se (0.2500, 0.7500, 0.5000)
Ta (0.0000, 0.0000, 0.0000)
Ta (0.7500, 0.2500, 0.5000)

---

6.
Material: TaInSe2
Method: DFT, meta-GGA SCAN
State: single point on PBEsol structure

Values from the calculation:
Raw formation energy: -0.671 eV/atom
Electronic total energy: -142.812 eV for the cell shown

a = 3.3872 Å, b = 3.3872 Å, c = 9.2221 Å
α = 90.00°, β = 90.00°, γ = 120.00°
Fractional coordinates of all 4 atoms:
In (0.6667, 0.3333, 0.0000)
Se (0.6667, 0.3333, 0.3190)
Se (0.6667, 0.3333, 0.6810)
Ta (0.0000, 0.0000, 0.5000)

---

7.
Material: Ta2InSe
Method: DFT, meta-GGA SCAN
State: single point on PBEsol structure

Values from the calculation:
Energy relative to the lowest polymorph listed for this composition: 0 meV/atom
Raw formation energy: -0.108 eV/atom
Electronic total energy: -187.063 eV for the cell shown

a = 3.3612 Å, b = 3.3612 Å, c = 6.8376 Å
α = 90.00°, β = 90.00°, γ = 90.00°
Fractional coordinates of all 4 atoms:
In (0.0000, 0.0000, 0.4737)
Se (0.5000, 0.5000, 0.8151)
Ta (0.0000, 0.0000, 0.9899)
Ta (0.5000, 0.5000, 0.2213)

---

8.
Material: TaIn2Se
Method: DFT, meta-GGA SCAN
State: single point on PBEsol structure

Values from the calculation:
Raw formation energy: 0.241 eV/atom
Electronic total energy: -152.472 eV for the cell shown

a = 3.3025 Å, b = 4.9780 Å, c = 5.2370 Å
α = 90.00°, β = 90.00°, γ = 92.68°
Fractional coordinates of all 4 atoms:
In (0.8008, 0.2454, 0.0000)
In (0.1992, 0.7546, 0.0000)
Se (0.5000, 0.5000, 0.5000)
Ta (0.5000, 0.0000, 0.5000)